Compound: YMgSi
Source: Alexandria
Functional: GGA-PBE
Structure: optimized geometry

a b c (Å): 6.474 6.393 3.365
angles (deg): 76.17 73.52 30.31
Fractional coordinates of all 3 atoms:
Mg1 0.026 0.026 0.974
Si1 0.659 0.659 0.341
Y1 0.315 0.315 0.685

N(E_F) (states/eV/f.u.): 2.021
Calculated total energy (eV per formula unit): -14.03
Crystal system: orthorhombic
Space-group type: Fmm2
Total moment (μB/cell): 0.00
Raw formation energy (eV/atom): -0.184